Computed, not measured: crystalline Cs2Tl3InPb4 at its relaxed geometry at the GGA-PBE level of DFT.

Geometry as CIF:
```
data_Cs2Tl3InPb4
_symmetry_space_group_name_H-M 'P -4 m 2'
_symmetry_Int_Tables_number 115
_cell_length_a 5.208
_cell_length_b 5.208
_cell_length_c 14.077
_cell_angle_alpha 90.00
_cell_angle_beta 90.00
_cell_angle_gamma 90.00
loop_
_symmetry_equiv_pos_as_xyz
'x,y,z'
'y,-x,-z'
'-x,-y,z'
'-y,x,-z'
'-x,y,z'
'-y,-x,-z'
'x,-y,z'
'y,x,-z'
loop_
_atom_site_label
_atom_site_type_symbol
_atom_site_fract_x
_atom_site_fract_y
_atom_site_fract_z
Cs1 Cs 0.000 0.500 0.245
Tl1 Tl 0.000 0.000 0.000
Tl2 Tl 0.000 0.500 0.639
In1 In 0.500 0.500 0.000
Pb1 Pb 0.000 0.000 0.500
Pb2 Pb 0.000 0.500 0.873
Pb3 Pb 0.500 0.500 0.500
```

Computed properties:
Formation enthalpy at 0 K ... -0.0816 eV/atom
E_tot ... -2.719 eV per atom


Computed, not measured: crystalline Cs2Tl4In3Pb at its relaxed geometry at the GGA-PBE level of DFT.

Geometry as CIF:
```
data_Cs2Tl4In3Pb
_symmetry_space_group_name_H-M 'P -4 m 2'
_symmetry_Int_Tables_number 115
_cell_length_a 5.329
_cell_length_b 5.329
_cell_length_c 12.890
_cell_angle_alpha 90.00
_cell_angle_beta 90.00
_cell_angle_gamma 90.00
loop_
_symmetry_equiv_pos_as_xyz
'x,y,z'
'y,-x,-z'
'-x,-y,z'
'-y,x,-z'
'-x,y,z'
'-y,-x,-z'
'x,-y,z'
'y,x,-z'
loop_
_atom_site_label
_atom_site_type_symbol
_atom_site_fract_x
_atom_site_fract_y
_atom_site_fract_z
Cs1 Cs 0.000 0.500 0.249
Tl1 Tl 0.000 0.000 0.000
Tl2 Tl 0.000 0.500 0.637
Tl3 Tl 0.500 0.500 0.000
In1 In 0.000 0.500 0.874
In2 In 0.500 0.500 0.500
Pb1 Pb 0.000 0.000 0.500
```

Computed properties:
Formation enthalpy at 0 K ... -0.0809 eV/atom
E_tot ... -2.390 eV per atom


Computed, not measured: crystalline Cs2Tl6InPb at its relaxed geometry at the GGA-PBE level of DFT.

Geometry as CIF:
```
data_Cs2Tl6InPb
_symmetry_space_group_name_H-M 'R -3 m'
_symmetry_Int_Tables_number 166
_symmetry_space_group_name_Hall '-R 3 2"'
_cell_length_a 8.1897
_cell_length_b 8.1897
_cell_length_c 42.8260
_cell_angle_alpha 90.00
_cell_angle_beta 90.00
_cell_angle_gamma 120.00
loop_
_atom_site_label
_atom_site_type_symbol
_atom_site_fract_x
_atom_site_fract_y
_atom_site_fract_z
Cs1 Cs 0.0000 0.0000 0.1049
Cs2 Cs 0.0000 0.0000 0.2795
Tl1 Tl 0.0575 0.5287 0.8659
Tl2 Tl 0.0676 0.5338 0.3049
In1 In 0.0000 0.0000 0.4241
Pb1 Pb 0.0000 0.0000 0.0000
Pb2 Pb 0.0000 0.0000 0.5000
```

Computed properties:
Formation enthalpy at 0 K ... 0.0110 eV/atom
E_tot ... -2.224 eV per atom


Computed, not measured: crystalline CsTlInPb at its relaxed geometry at the GGA-PBE level of DFT.

Geometry as CIF:
```
data_CsTlInPb
_symmetry_space_group_name_H-M 'F -4 3 m'
_symmetry_Int_Tables_number 216
_symmetry_space_group_name_Hall 'F -4 2 3'
_cell_length_a 8.324
_cell_length_b 8.324
_cell_length_c 8.324
_cell_angle_alpha 90.00
_cell_angle_beta 90.00
_cell_angle_gamma 90.00
loop_
_atom_site_label
_atom_site_type_symbol
_atom_site_fract_x
_atom_site_fract_y
_atom_site_fract_z
Cs1 Cs 0.000 0.000 0.000
Tl1 Tl 0.250 0.250 0.750
In1 In 0.250 0.250 0.250
Pb1 Pb 0.000 0.000 0.500
```

Computed properties:
Formation enthalpy at 0 K ... 0.0341 eV/atom
E_tot ... -2.383 eV per atom


Computed, not measured: crystalline CsTl5In2Pb at its relaxed geometry at the GGA-PBE level of DFT.

Geometry as CIF:
```
data_CsTl5In2Pb
_symmetry_space_group_name_H-M 'P 4/m m m'
_symmetry_Int_Tables_number 123
_symmetry_space_group_name_Hall '-P 4 2'
_cell_length_a 5.435
_cell_length_b 5.435
_cell_length_c 12.846
_cell_angle_alpha 90.00
_cell_angle_beta 90.00
_cell_angle_gamma 90.00
loop_
_atom_site_label
_atom_site_type_symbol
_atom_site_fract_x
_atom_site_fract_y
_atom_site_fract_z
Cs1 Cs 0.000 0.000 0.000
Tl1 Tl 0.000 0.500 0.349
Tl2 Tl 0.500 0.500 0.000
In1 In 0.500 0.500 0.226
Pb1 Pb 0.500 0.500 0.500
```

Computed properties:
Formation enthalpy at 0 K ... 0.1553 eV/atom
E_tot ... -2.275 eV per atom


Computed, not measured: crystalline Cs2TlInPb6 at its relaxed geometry at the GGA-PBE level of DFT.

Geometry as CIF:
```
data_Cs2TlInPb6
_symmetry_space_group_name_H-M 'R -3 m'
_symmetry_Int_Tables_number 166
_symmetry_space_group_name_Hall '-R 3 2"'
_cell_length_a 8.4539
_cell_length_b 8.4539
_cell_length_c 42.2659
_cell_angle_alpha 90.00
_cell_angle_beta 90.00
_cell_angle_gamma 120.00
loop_
_atom_site_label
_atom_site_type_symbol
_atom_site_fract_x
_atom_site_fract_y
_atom_site_fract_z
Cs1 Cs 0.0000 0.0000 0.1449
Cs2 Cs 0.0000 0.0000 0.3231
Tl1 Tl 0.0000 0.0000 0.4266
In1 In 0.0000 0.0000 0.0000
In2 In 0.0000 0.0000 0.5000
Pb1 Pb 0.0680 0.5340 0.7265
Pb2 Pb 0.0818 0.5409 0.9005
```

Computed properties:
Formation enthalpy at 0 K ... 0.0573 eV/atom
E_tot ... -2.849 eV per atom